This record from Alexandria via LeMat-Bulk describes a geometry-optimized Ti4GaS8 structure. The functional is GGA-PBEsol.

abc: 6.955 6.955 6.955
angles: 60.00 60.00 60.00
Element x y z (fractional)
Ti: 0.388 0.388 0.388
Ti: 0.388 0.388 0.837
Ti: 0.388 0.837 0.388
Ti: 0.837 0.388 0.388
Ga: 0.000 0.000 0.000
S: 0.119 0.627 0.627
S: 0.133 0.133 0.133
S: 0.133 0.133 0.600
S: 0.133 0.600 0.133
S: 0.600 0.133 0.133
S: 0.627 0.119 0.627
S: 0.627 0.627 0.119
S: 0.627 0.627 0.627

---

This record from Alexandria via LeMat-Bulk describes a geometry-optimized Ti2V2GaS8 structure. The functional is GGA-PBEsol.

abc: 6.840 6.840 6.840
angles: 120.85 119.39 89.80
Element x y z (fractional)
Ti: 0.224 0.000 0.224
Ti: 0.776 0.000 0.776
V: 0.218 0.017 0.800
V: 0.218 0.418 0.200
Ga: 0.619 0.619 0.000
S: 0.023 0.742 0.281
S: 0.462 0.742 0.719
S: 0.471 0.210 0.739
S: 0.471 0.731 0.261
S: 0.501 0.239 0.262
S: 0.977 0.239 0.738
S: 0.984 0.245 0.261
S: 0.984 0.724 0.739

---

no.,E_form (uncorrected) (eV/f.u.)
1,-16.88
2,-14.80